No. 1
Li2La2TbSb2: optimized geometry, PBE-GGA.

```
Li2La2TbSb2
1.0
2.391 1.381 9.268
-2.391 1.381 9.268
0.000 -2.761 9.268
Li La Tb Sb
2 2 1 2
direct
0.101 0.101 0.101
0.899 0.899 0.899
0.370 0.370 0.370
0.630 0.630 0.630
0.500 0.500 0.500
0.230 0.230 0.230
0.770 0.770 0.770
```

Values from the calculation:
Space group: R-3m
Total magnetization, μB/atom: 0.0001
Calculated total energy, eV/f.u.: -30.889
DOS(E_F), states/eV/cell: 5.516
Raw formation energy, kJ/mol of formula units: -418.0


No. 2
LiLaTbSb: optimized geometry, PBE-GGA.

```
LiLaTbSb
1.0
0.000 3.782 3.782
3.782 0.000 3.782
3.782 3.782 0.000
Li La Tb Sb
1 1 1 1
direct
0.000 0.000 0.000
0.750 0.750 0.750
0.250 0.250 0.250
0.500 0.500 0.500
```

Values from the calculation:
Space group: F-43m
Total magnetization, μB/atom: 0.0000
Calculated total energy, eV/f.u.: -17.544
DOS(E_F), states/eV/cell: 3.871
Raw formation energy, kJ/mol of formula units: -188.1


No. 3
Li2LaTb2Sb2: optimized geometry, PBE-GGA.

```
Li2LaTb2Sb2
1.0
2.393 1.382 9.112
-2.393 1.382 9.112
0.000 -2.763 9.112
Li La Tb Sb
2 1 2 2
direct
0.087 0.087 0.087
0.913 0.913 0.913
0.500 0.500 0.500
0.369 0.369 0.369
0.631 0.631 0.631
0.240 0.240 0.240
0.760 0.760 0.760
```

Values from the calculation:
Space group: R-3m
Total magnetization, μB/atom: 0.0048
Calculated total energy, eV/f.u.: -30.511
DOS(E_F), states/eV/cell: 5.884
Raw formation energy, kJ/mol of formula units: -410.1


No. 4
LiLaSbTe2: optimized geometry, PBE-GGA.

```
LiLaSbTe2
1.0
6.173 0.000 0.000
0.000 6.173 0.000
0.000 0.000 6.152
Li La Sb Te
1 1 1 2
direct
0.000 0.000 0.000
0.500 0.500 0.500
0.500 0.500 0.000
0.000 0.500 0.500
0.500 0.000 0.500
```

Values from the calculation:
Space group: P4/mmm
Total magnetization, μB/atom: 0.1950
Calculated total energy, eV/f.u.: -18.183
DOS(E_F), states/eV/cell: 5.377
Raw formation energy, kJ/mol of formula units: -90.3
ΔE to the lowest computed polymorph, meV/atom: 372


No. 5
LiLaSbTe2: optimized geometry, PBE-GGA.

```
LiLaSbTe2
1.0
5.348 0.000 0.000
0.000 5.348 0.000
0.000 0.000 4.876
Li La Sb Te
1 1 1 2
direct
0.000 0.000 0.000
0.500 0.500 0.500
0.000 0.000 0.500
0.000 0.500 0.000
0.500 0.000 0.000
```

Values from the calculation:
Space group: P4/mmm
Total magnetization, μB/atom: 0.0000
Calculated total energy, eV/f.u.: -20.044
DOS(E_F), states/eV/cell: 2.865
Raw formation energy, kJ/mol of formula units: -269.9
ΔE to the lowest computed polymorph, meV/atom: 0


No. 6
Li2LaTm2Sb2: optimized geometry, PBE-GGA.

```
Li2LaTm2Sb2
1.0
2.383 1.376 8.971
-2.383 1.376 8.971
0.000 -2.751 8.971
Li La Tm Sb
2 1 2 2
direct
0.084 0.084 0.084
0.916 0.916 0.916
0.500 0.500 0.500
0.368 0.368 0.368
0.632 0.632 0.632
0.242 0.242 0.242
0.758 0.758 0.758
```

Values from the calculation:
Space group: R-3m
Total magnetization, μB/atom: 0.0971
Calculated total energy, eV/f.u.: -29.928
DOS(E_F), states/eV/cell: 6.111
Raw formation energy, kJ/mol of formula units: -384.5